This record from Alexandria describes a geometry-optimized LaPm2Ge structure. The functional is GGA-PBE.

Summary:
The total energy comes out at -4.891 eV/atom. As for the symmetry: Fm-3m, No. 225. The volume comes out at 27.7 Å³/atom. The relative energy among the computed polymorphs comes out at 321 meV per atom. As for the density: 7.51 g/cm3.

Cell: 7.6266 7.6266 7.6266 Å, 90.00 90.00 90.00°
Closest atoms and distances in Å follow each position.
Positions (direct):
La 0.0000 0.0000 0.0000  8 Pm 3.30
La 0.0000 0.5000 0.5000  8 Pm 3.30
La 0.5000 0.0000 0.5000  8 Pm 3.30
La 0.5000 0.5000 0.0000  8 Pm 3.30
Pm 0.2500 0.2500 0.2500  4 Ge 3.30, 4 La 3.30
Pm 0.2500 0.2500 0.7500  4 Ge 3.30, 4 La 3.30
Pm 0.2500 0.7500 0.2500  4 Ge 3.30, 4 La 3.30
Pm 0.2500 0.7500 0.7500  4 Ge 3.30, 4 La 3.30
Pm 0.7500 0.2500 0.2500  4 Ge 3.30, 4 La 3.30
Pm 0.7500 0.2500 0.7500  4 Ge 3.30, 4 La 3.30
Pm 0.7500 0.7500 0.2500  4 Ge 3.30, 4 La 3.30
Pm 0.7500 0.7500 0.7500  4 Ge 3.30, 4 La 3.30
Ge 0.0000 0.0000 0.5000  8 Pm 3.30
Ge 0.0000 0.5000 0.0000  8 Pm 3.30
Ge 0.5000 0.0000 0.0000  8 Pm 3.30
Ge 0.5000 0.5000 0.5000  8 Pm 3.30